AsBr: optimized geometry, PBE.

POSCAR file:
```
AsBr
1.0
3.6778 0.0000 0.0000
0.0000 9.4878 0.0000
0.0000 0.0000 8.3399
As Br
4 4
Direct
0.0000 0.2500 0.0953
0.0000 0.7500 0.9047
0.5000 0.2500 0.9047
0.5000 0.7500 0.0953
0.0000 0.2500 0.6509
0.0000 0.7500 0.3491
0.5000 0.2500 0.3491
0.5000 0.7500 0.6509
```

Properties
Energy relative to the lowest polymorph listed for this composition   0.95 eV/f.u.
N(E_F)   0.14 states/eV/atom
Uncorrected formation energy   46.4 kJ/mol of formula units